--- a ---
BaAg2Sn4: optimized geometry, GGA-PBE.

Calculated values
SG	Pnma
density	7.24	g/cm3
M_tot	0.00	Bohr magnetons per cell
N(E_F)	0.37	states/eV per atom

Lattice parameters (Å, degrees): 4.9936 7.7102 19.7267 90.00 90.00 90.00
With the nearest neighbours (Å) after each atom.
Sites, in units of the cell vectors:
Ba 0.7500 0.9810 0.6432  10 Sn 3.51-3.88, 4 Ag 3.72-3.75
Ba 0.2500 0.0190 0.3568  10 Sn 3.51-3.88, 4 Ag 3.72-3.75
Ba 0.2500 0.4810 0.8568  10 Sn 3.51-3.88, 4 Ag 3.72-3.75
Ba 0.7500 0.5190 0.1432  10 Sn 3.51-3.88, 4 Ag 3.72-3.75
Ag 0.2500 0.7585 0.5341  7 Sn 2.90-3.17
Ag 0.7500 0.2415 0.4659  7 Sn 2.90-3.17
Ag 0.7500 0.2585 0.9659  7 Sn 2.90-3.17
Ag 0.2500 0.7415 0.0341  7 Sn 2.90-3.17
Ag 0.2500 0.9745 0.7848  7 Sn 2.97-3.11
Ag 0.7500 0.0255 0.2152  7 Sn 2.97-3.11
Ag 0.7500 0.4745 0.7152  7 Sn 2.97-3.11
Ag 0.2500 0.5255 0.2848  7 Sn 2.97-3.11
Sn 0.2500 0.2800 0.6867  3 Ag 2.97-3.05, 2 Sn 3.04-3.19
Sn 0.7500 0.7200 0.3133  3 Ag 2.97-3.05, 2 Sn 3.04-3.19
Sn 0.7500 0.7800 0.8133  3 Ag 2.97-3.05, 2 Sn 3.04-3.19
Sn 0.2500 0.2200 0.1867  3 Ag 2.97-3.05, 2 Sn 3.04-3.19
Sn 0.2500 0.6739 0.6799  4 Ag 2.95-3.11, 1 Sn 3.04
Sn 0.7500 0.3261 0.3201  4 Ag 2.95-3.11, 1 Sn 3.04
Sn 0.7500 0.1739 0.8201  4 Ag 2.95-3.11, 1 Sn 3.04
Sn 0.2500 0.8261 0.1799  4 Ag 2.95-3.11, 1 Sn 3.04
Sn 0.2500 0.1506 0.5334  3 Ag 2.91-3.02, 2 Sn 3.19-3.22
Sn 0.7500 0.8494 0.4666  3 Ag 2.91-3.02, 2 Sn 3.19-3.22
Sn 0.7500 0.6506 0.9666  3 Ag 2.91-3.02, 2 Sn 3.19-3.22
Sn 0.2500 0.3494 0.0334  3 Ag 2.91-3.02, 2 Sn 3.19-3.22
Sn 0.2500 0.4817 0.4343  4 Ag 2.90-3.17, 1 Sn 3.22
Sn 0.7500 0.5183 0.5657  4 Ag 2.90-3.17, 1 Sn 3.22
Sn 0.7500 0.9817 0.0657  4 Ag 2.90-3.17, 1 Sn 3.22
Sn 0.2500 0.0183 0.9343  4 Ag 2.90-3.17, 1 Sn 3.22

=====

--- b ---
BaAg2Sn4: optimized geometry, GGA-PBE.

Calculated values
SG	Cmmm
density	7.02	g/cm3
M_tot	0.00	Bohr magnetons per cell
N(E_F)	0.30	states/eV per atom

Lattice parameters (Å, degrees): 5.2824 5.2960 7.4850 110.72 90.00 90.00
With the nearest neighbours (Å) after each atom.
Sites, in units of the cell vectors:
Ba 0.0000 0.0000 0.0000  8 Sn 3.66-3.77, 8 Ag 3.98
Ag 0.5000 0.5979 0.1958  1 Ag 2.74, 4 Sn 2.89-2.95
Ag 0.5000 0.4021 0.8042  1 Ag 2.74, 4 Sn 2.89-2.95
Sn 0.5000 0.8187 0.6375  3 Ag 2.89-3.09, 2 Sn 3.18
Sn 0.0000 0.6920 0.3839  2 Ag 2.95, 4 Sn 3.11-3.18
Sn 0.5000 0.1813 0.3625  3 Ag 2.89-3.09, 2 Sn 3.18
Sn 0.0000 0.3080 0.6161  2 Ag 2.95, 4 Sn 3.11-3.18

=====

The structure with the most favorable energy is a; the runner-up is 26 meV per atom above it.

=====

--- a ---
BaAgSn2: optimized geometry, GGA-PBE.

Calculated values
SG	R-3m
density	4.83	g/cm3
M_tot	0.58	Bohr magnetons per cell
N(E_F)	0.59	states/eV per atom

Lattice parameters (Å, degrees): 4.6274 4.6274 9.3371 75.65 75.65 60.00
With the nearest neighbours (Å) after each atom.
Sites, in units of the cell vectors:
Ba 0.0000 0.0000 0.0000  2 Sn 3.52
Ag 0.5000 0.5000 0.5000  6 Sn 2.84
Sn 0.1312 0.1312 0.6064  3 Ag 2.84
Sn 0.8688 0.8688 0.3936  3 Ag 2.84

=====

--- b ---
BaAgSn2: optimized geometry, GGA-PBE.

Calculated values
SG	I-42d
density	5.81	g/cm3
M_tot	0.00	Bohr magnetons per cell
N(E_F)	0.54	states/eV per atom

Lattice parameters (Å, degrees): 5.2432 5.2432 10.6978 75.81 75.81 90.00
With the nearest neighbours (Å) after each atom.
Sites, in units of the cell vectors:
Ba 0.0000 0.0000 0.0000  4 Sn 3.42, 4 Ag 3.71
Ba 0.7500 0.2500 0.5000  4 Sn 3.42, 4 Ag 3.71
Ag 0.5000 0.5000 0.0000  4 Sn 2.92
Ag 0.2500 0.7500 0.5000  4 Sn 2.92
Sn 0.5088 0.1250 0.2500  2 Ag 2.92, 2 Sn 2.97
Sn 0.2412 0.6250 0.2500  2 Ag 2.92, 2 Sn 2.97
Sn 0.3750 0.4912 0.7500  2 Ag 2.92, 2 Sn 2.97
Sn 0.8750 0.7588 0.7500  2 Ag 2.92, 2 Sn 2.97

=====

The structure with the most favorable energy is b; the runner-up is 275 meV per atom above it.

=====

--- a ---
BaAgSn2: optimized geometry, GGA-PBE.

Calculated values
SG	Cmcm
density	6.70	g/cm3
M_tot	0.00	Bohr magnetons per cell
N(E_F)	0.52	states/eV per atom

Lattice parameters (Å, degrees): 4.7181 6.9257 7.7896 90.00 90.00 109.91
With the nearest neighbours (Å) after each atom.
Sites, in units of the cell vectors:
Ba 0.9323 0.8647 0.2500  4 Sn 3.52, 3 Ag 3.58-3.76
Ba 0.0677 0.1353 0.7500  4 Sn 3.52, 3 Ag 3.58-3.76
Ag 0.2072 0.4143 0.2500  6 Sn 2.90-3.00
Ag 0.7928 0.5857 0.7500  6 Sn 2.90-3.00
Sn 0.3482 0.6964 0.9461  3 Ag 2.90-3.00, 1 Sn 3.06
Sn 0.6518 0.3036 0.0539  3 Ag 2.90-3.00, 1 Sn 3.06
Sn 0.6518 0.3036 0.4461  3 Ag 2.90-3.00, 1 Sn 3.06
Sn 0.3482 0.6964 0.5539  3 Ag 2.90-3.00, 1 Sn 3.06

=====

--- b ---
BaAgSn2: optimized geometry, GGA-PBE.

Calculated values
SG	Fm-3m
density	6.83	g/cm3
M_tot	0.00	Bohr magnetons per cell
N(E_F)	0.55	states/eV per atom

Lattice parameters (Å, degrees): 5.4956 5.4956 5.4956 60.00 60.00 60.00
With the nearest neighbours (Å) after each atom.
Sites, in units of the cell vectors:
Ba 0.5000 0.5000 0.5000  8 Sn 3.37
Ag 0.0000 0.0000 0.0000  8 Sn 3.37
Sn 0.2500 0.2500 0.2500  4 Ag 3.37, 4 Ba 3.37
Sn 0.7500 0.7500 0.7500  4 Ba 3.37, 4 Ag 3.37

=====

--- c ---
BaAgSn2: optimized geometry, GGA-PBE.

Calculated values
SG	P-1
density	6.61	g/cm3
M_tot	0.00	Bohr magnetons per cell
N(E_F)	0.42	states/eV per atom

Lattice parameters (Å, degrees): 5.9461 7.0566 11.7089 91.04 99.20 90.42
With the nearest neighbours (Å) after each atom.
Sites, in units of the cell vectors:
Ba 0.7032 0.8765 0.1339  3 Ag 3.34-3.59, 2 Sn 3.60-3.63
Ba 0.2233 0.6262 0.6255  3 Ag 3.38-3.64, 6 Sn 3.57-3.75
Ba 0.2968 0.1235 0.8661  3 Ag 3.34-3.59, 2 Sn 3.60-3.63
Ba 0.7767 0.3738 0.3745  3 Ag 3.38-3.64, 6 Sn 3.57-3.75
Ag 0.0409 0.9091 0.3907  4 Sn 2.84-3.08, 1 Ag 2.95
Ag 0.9591 0.0909 0.6093  4 Sn 2.84-3.08, 1 Ag 2.95
Ag 0.4743 0.4028 0.1051  3 Sn 2.80-2.89, 1 Ag 2.90
Ag 0.5257 0.5972 0.8949  3 Sn 2.80-2.89, 1 Ag 2.90
Sn 0.2369 0.1657 0.2440  2 Ag 2.87-2.88
Sn 0.6084 0.8360 0.4544  2 Ag 2.84-3.08, 1 Sn 2.92
Sn 0.3916 0.1640 0.5456  2 Ag 2.84-3.08, 1 Sn 2.92
Sn 0.7655 0.3787 0.7425  2 Ag 2.89, 1 Sn 3.22
Sn 0.1142 0.6766 0.9722  1 Ag 2.80, 1 Sn 2.96
Sn 0.2345 0.6213 0.2575  2 Ag 2.89, 1 Sn 3.22
Sn 0.7631 0.8343 0.7560  2 Ag 2.87-2.88
Sn 0.8858 0.3234 0.0278  1 Ag 2.80, 1 Sn 2.96

=====

The structure with the most favorable energy is a; the runner-up is 41 meV per atom above it.

=====

--- a ---
Ba3Ag3Sn: optimized geometry, GGA-PBE.

Calculated values
SG	C2/m
density	5.62	g/cm3
M_tot	0.00	Bohr magnetons per cell
N(E_F)	0.57	states/eV per atom

Lattice parameters (Å, degrees): 4.8882 6.6958 16.7590 89.12 81.61 68.59
With the nearest neighbours (Å) after each atom.
Sites, in units of the cell vectors:
Ba 0.5846 0.2384 0.5924  7 Ag 3.59-4.00, 4 Sn 3.64-3.67
Ba 0.4154 0.7616 0.4076  7 Ag 3.59-4.00, 4 Sn 3.64-3.67
Ba 0.2310 0.3128 0.2253  6 Ag 3.52-3.68, 2 Sn 3.56
Ba 0.7690 0.6872 0.7747  6 Ag 3.52-3.68, 2 Sn 3.56
Ba 0.4027 0.2703 0.9243  7 Ag 3.53-3.68
Ba 0.5973 0.7297 0.0757  7 Ag 3.53-3.68
Ag 0.8867 0.6642 0.5624  2 Sn 2.84, 1 Ag 2.85
Ag 0.1133 0.3358 0.4376  2 Sn 2.84, 1 Ag 2.85
Ag 0.1067 0.8609 0.9257  2 Ag 2.95-2.96
Ag 0.8933 0.1391 0.0743  2 Ag 2.95-2.96
Ag 0.9357 0.9026 0.2259  1 Sn 2.90, 1 Ag 2.96
Ag 0.0643 0.0974 0.7741  1 Sn 2.90, 1 Ag 2.96
Sn 0.7247 0.1795 0.3711  3 Ag 2.84-2.90
Sn 0.2753 0.8205 0.6289  3 Ag 2.84-2.90

=====

--- b ---
Ba3Ag3Sn: optimized geometry, GGA-PBE.

Calculated values
SG	P6_3/m
density	4.92	g/cm3
M_tot	0.00	Bohr magnetons per cell
N(E_F)	0.70	states/eV per atom

Lattice parameters (Å, degrees): 6.6884 9.9799 9.9799 120.00 90.00 90.00
With the nearest neighbours (Å) after each atom.
Sites, in units of the cell vectors:
Ba 0.7500 0.6903 0.6190  5 Ag 3.35-3.44
Ba 0.7500 0.3810 0.0713  5 Ag 3.35-3.44
Ba 0.7500 0.9287 0.3097  5 Ag 3.35-3.44
Ba 0.2500 0.3097 0.3810  5 Ag 3.35-3.44
Ba 0.2500 0.6190 0.9287  5 Ag 3.35-3.44
Ba 0.2500 0.0713 0.6903  5 Ag 3.35-3.44
Ag 0.2500 0.7017 0.6324  1 Sn 2.83
Ag 0.2500 0.3676 0.0693  1 Sn 2.83
Ag 0.2500 0.9307 0.2983  1 Sn 2.83
Ag 0.7500 0.2983 0.3676  1 Sn 2.83
Ag 0.7500 0.6324 0.9307  1 Sn 2.83
Ag 0.7500 0.0693 0.7017  1 Sn 2.83
Sn 0.2500 0.6667 0.3333  3 Ag 2.83
Sn 0.7500 0.3333 0.6667  3 Ag 2.83

=====

The structure with the most favorable energy is a; the runner-up is 175 meV per atom above it.

=====

--- a ---
Ba3Ag3Sn8: optimized geometry, GGA-PBE.

Calculated values
SG	C2/m
density	6.84	g/cm3
M_tot	0.00	Bohr magnetons per cell
N(E_F)	0.30	states/eV per atom

Lattice parameters (Å, degrees): 5.1561 9.5719 9.3872 69.36 74.06 74.38
With the nearest neighbours (Å) after each atom.
Sites, in units of the cell vectors:
Ba 0.3037 0.6900 0.7026  10 Sn 3.53-3.85, 5 Ag 3.61-3.87
Ba 0.6963 0.3100 0.2974  10 Sn 3.53-3.85, 5 Ag 3.61-3.87
Ba 0.0000 0.0000 0.0000  8 Sn 3.63-3.69, 4 Ag 3.88
Ag 0.0000 0.5000 0.5000  8 Sn 3.13-3.32
Ag 0.6634 0.6913 0.9820  5 Sn 2.89-3.02
Ag 0.3366 0.3087 0.0180  5 Sn 2.89-3.02
Sn 0.1501 0.1282 0.5716  5 Sn 3.08-3.44, 1 Ag 3.29
Sn 0.8499 0.8718 0.4284  5 Sn 3.08-3.44, 1 Ag 3.29
Sn 0.8591 0.4187 0.8630  4 Ag 2.96-3.13, 2 Sn 3.29
Sn 0.1409 0.5813 0.1370  4 Ag 2.96-3.13, 2 Sn 3.29
Sn 0.5027 0.6909 0.3038  1 Ag 2.90, 1 Sn 3.05
Sn 0.4973 0.3091 0.6962  1 Ag 2.90, 1 Sn 3.05
Sn 0.3493 0.0294 0.2720  1 Ag 2.89, 4 Sn 3.05-3.10
Sn 0.6507 0.9706 0.7280  1 Ag 2.89, 4 Sn 3.05-3.10

=====

--- b ---
Ba3Ag3Sn8: optimized geometry, GGA-PBE.

Calculated values
SG	Immm
density	6.82	g/cm3
M_tot	0.00	Bohr magnetons per cell
N(E_F)	0.43	states/eV per atom

Lattice parameters (Å, degrees): 4.8793 9.5510 9.5510 77.28 75.20 75.20
With the nearest neighbours (Å) after each atom.
Sites, in units of the cell vectors:
Ba 0.5000 0.5000 0.5000  8 Sn 3.59, 2 Ba 3.98
Ba 0.7823 0.2177 0.2177  2 Ag 3.46, 8 Sn 3.54-3.78
Ba 0.2177 0.7823 0.7823  2 Ag 3.46, 8 Sn 3.54-3.78
Ag 0.5000 0.0000 0.0000  4 Ag 2.91, 4 Sn 3.05
Ag 0.0000 0.8668 0.1332  3 Ag 2.91-3.18, 6 Sn 3.06-3.22
Ag 0.0000 0.1332 0.8668  3 Ag 2.91-3.18, 6 Sn 3.06-3.22
Sn 0.6399 0.0547 0.6656  3 Sn 3.00-3.29, 3 Ag 3.05-3.22
Sn 0.3601 0.9453 0.3344  3 Sn 3.00-3.29, 3 Ag 3.05-3.22
Sn 0.6399 0.6656 0.0547  3 Sn 3.00-3.29, 3 Ag 3.05-3.22
Sn 0.3601 0.3344 0.9453  3 Sn 3.00-3.29, 3 Ag 3.05-3.22
Sn 0.8717 0.7885 0.4681  3 Sn 3.00-3.29, 1 Ag 3.06
Sn 0.1283 0.2115 0.5319  3 Sn 3.00-3.29, 1 Ag 3.06
Sn 0.8717 0.4681 0.7885  3 Sn 3.00-3.29, 1 Ag 3.06
Sn 0.1283 0.5319 0.2115  3 Sn 3.00-3.29, 1 Ag 3.06

=====

The structure with the most favorable energy is a; the runner-up is 25 meV per atom above it.

=====

--- a ---
BaAgSnW2: optimized geometry, GGA-PBE.

Calculated values
SG	P4/mmm
density	8.08	g/cm3
M_tot	3.48	Bohr magnetons per cell
N(E_F)	0.88	states/eV per atom

Lattice parameters (Å, degrees): 5.2125 5.5357 5.2125 90.00 90.00 90.00
With the nearest neighbours (Å) after each atom.
Sites, in units of the cell vectors:
Ag 0.0000 0.5000 0.0000  2 Ba 2.77
Ba 0.0000 0.0000 0.0000  4 W 2.61, 2 Ag 2.77
W 0.0000 0.0000 0.5000  2 Ba 2.61
W 0.5000 0.0000 0.0000  2 Ba 2.61
Sn 0.5000 0.5000 0.5000  4 Ag 3.69, 8 W 3.80

=====

--- b ---
BaAgSnW2: optimized geometry, GGA-PBE.

Calculated values
SG	P4/mmm
density	8.37	g/cm3
M_tot	1.21	Bohr magnetons per cell
N(E_F)	0.98	states/eV per atom

Lattice parameters (Å, degrees): 4.9980 5.8110 4.9980 90.00 90.00 90.00
With the nearest neighbours (Å) after each atom.
Sites, in units of the cell vectors:
Ag 0.0000 0.0000 0.0000  4 W 2.50
Ba 0.0000 0.5000 0.0000  2 Ag 2.91
W 0.0000 0.0000 0.5000  2 Ag 2.50
W 0.5000 0.0000 0.0000  2 Ag 2.50
Sn 0.5000 0.5000 0.5000  4 Ba 3.53, 8 W 3.83

=====

The structure with the most favorable energy is b; the runner-up is 954 meV per atom above it.

=====

--- a ---
Ba4SrAg: optimized geometry, GGA-PBE.

Calculated values
SG	C2/c
density	3.81	g/cm3
M_tot	0.00	Bohr magnetons per cell
N(E_F)	1.24	states/eV per atom

Lattice parameters (Å, degrees): 7.5767 11.6102 9.7318 117.15 100.05 111.11
With the nearest neighbours (Å) after each atom.
Sites, in units of the cell vectors:
Ba 0.0498 0.1719 0.8098  2 Ag 3.76-3.78, 1 Sr 4.10, 1 Ba 4.20
Ba 0.7791 0.7273 0.6671  2 Ag 3.43-3.45
Ba 0.2600 0.6379 0.8098  2 Ag 3.76-3.78, 1 Sr 4.10, 1 Ba 4.20
Ba 0.3879 0.9397 0.6671  2 Ag 3.43-3.45
Ba 0.6121 0.0603 0.3329  2 Ag 3.43-3.45
Ba 0.7400 0.3621 0.1902  2 Ag 3.76-3.78, 1 Sr 4.10, 1 Ba 4.20
Ba 0.2209 0.2727 0.3329  2 Ag 3.43-3.45
Ba 0.9502 0.8281 0.1902  2 Ag 3.76-3.78, 1 Sr 4.10, 1 Ba 4.20
Sr 0.3588 0.6088 0.2177  8 Ba 4.10-4.41
Sr 0.6412 0.3912 0.7823  8 Ba 4.10-4.41
Ag 0.2507 0.0007 0.0014  8 Ba 3.43-3.78, 2 Ag 3.79
Ag 0.7493 0.9993 0.9986  8 Ba 3.43-3.78, 2 Ag 3.79

=====

--- b ---
Ba4SrAg: optimized geometry, GGA-PBE.

Calculated values
SG	F-43m
density	3.62	g/cm3
M_tot	1.76	Bohr magnetons per cell
N(E_F)	1.90	states/eV per atom

Lattice parameters (Å, degrees): 7.8465 7.8465 7.8465 60.00 60.00 60.00
With the nearest neighbours (Å) after each atom.
Sites, in units of the cell vectors:
Ba 0.8762 0.3746 0.3746  6 Ba 3.91-3.94
Ba 0.3746 0.3746 0.8762  6 Ba 3.91-3.94
Ba 0.3746 0.8762 0.3746  6 Ba 3.91-3.94
Ba 0.3746 0.3746 0.3746  6 Ba 3.91-3.94
Sr 0.7500 0.7500 0.7500  12 Ba 4.60, 4 Ag 4.80
Ag 0.0000 0.0000 0.0000  12 Ba 4.60, 4 Sr 4.80

=====

The structure with the most favorable energy is a; the runner-up is 415 meV per atom above it.

=====

--- a ---
BaSrAg: optimized geometry, GGA-PBE.

Calculated values
SG	F-43m
density	4.22	g/cm3
M_tot	0.00	Bohr magnetons per cell
N(E_F)	0.99	states/eV per atom

Lattice parameters (Å, degrees): 5.7012 5.7012 5.7012 60.00 60.00 60.00
With the nearest neighbours (Å) after each atom.
Sites, in units of the cell vectors:
Sr 0.5000 0.5000 0.5000  4 Ag 3.49
Ba 0.0000 0.0000 0.0000  4 Ag 3.49
Ag 0.7500 0.7500 0.7500  4 Ba 3.49, 4 Sr 3.49

=====

--- b ---
BaSrAg: optimized geometry, GGA-PBE.

Calculated values
SG	C2/m
density	4.28	g/cm3
M_tot	0.00	Bohr magnetons per cell
N(E_F)	0.92	states/eV per atom

Lattice parameters (Å, degrees): 4.5761 8.2727 7.5971 74.83 72.47 73.94
With the nearest neighbours (Å) after each atom.
Sites, in units of the cell vectors:
Ag 0.1211 0.3214 0.4363  1 Ag 3.15, 3 Sr 3.33-3.49, 4 Ba 3.49-3.51
Ag 0.8789 0.6786 0.5637  1 Ag 3.15, 3 Sr 3.33-3.49, 4 Ba 3.49-3.51
Sr 0.1777 0.9166 0.7279  3 Ag 3.33-3.49
Sr 0.8223 0.0834 0.2721  3 Ag 3.33-3.49
Ba 0.4218 0.3702 0.7863  4 Ag 3.49-3.51
Ba 0.5782 0.6298 0.2137  4 Ag 3.49-3.51

=====

The structure with the most favorable energy is b; the runner-up is 77 meV per atom above it.